# 1
Here is crystalline HfSiB3 at its relaxed geometry from Alexandria via LeMat-Bulk. Energies are from GGA-PBE.

Cell lengths 3.8881, 3.8881, 3.8881 Å; angles 90.00, 90.00, 90.00 degrees
With the nearest neighbours (Å) after each atom.
Fractional coordinates of all 5 atoms:
Si (0.0000, 0.0000, 0.0000)  6 B 1.94
B (0.0000, 0.5000, 0.0000)  2 Si 1.94
B (0.0000, 0.0000, 0.5000)  2 Si 1.94
B (0.5000, 0.0000, 0.0000)  2 Si 1.94
Hf (0.5000, 0.5000, 0.5000)  12 B 2.75

- formation energy (no corrections) (eV/atom) = 0.93
- SG = Pm-3m, No. 221
- V (Å³ per cell) = 59
- total energy (eV/atom) = -6.149
- magnetization (Bohr magnetons per cell) = 0.00

# 2
Here is crystalline Co24Re5 at its relaxed geometry from Alexandria via LeMat-Bulk. Energies are from GGA-PBE.

Cell lengths 7.5649, 7.5649, 7.5649 Å; angles 109.47, 109.47, 109.47 degrees
With the nearest neighbours (Å) after each atom.
Fractional coordinates of all 29 atoms:
Co (0.1920, 0.3765, 0.0000)  6 Co 2.28-2.46
Co (0.3765, 0.1920, 0.0000)  6 Co 2.28-2.46
Co (0.8080, 0.8080, 0.1844)  6 Co 2.28-2.46
Co (0.6235, 0.6235, 0.8156)  6 Co 2.28-2.46
Co (0.8080, 0.1844, 0.8080)  6 Co 2.28-2.46
Co (0.6235, 0.8156, 0.6235)  6 Co 2.28-2.46
Co (0.3765, 0.0000, 0.1920)  6 Co 2.28-2.46
Co (0.1920, 0.0000, 0.3765)  6 Co 2.28-2.46
Co (0.0000, 0.3765, 0.1920)  6 Co 2.28-2.46
Co (0.0000, 0.1920, 0.3765)  6 Co 2.28-2.46
Co (0.8156, 0.6235, 0.6235)  6 Co 2.28-2.46
Co (0.1844, 0.8080, 0.8080)  6 Co 2.28-2.46
Co (0.6810, 0.3991, 0.0000)  7 Co 2.31-2.59, 1 Re 2.50
Co (0.3991, 0.6810, 0.0000)  7 Co 2.31-2.59, 1 Re 2.50
Co (0.3190, 0.3190, 0.7180)  7 Co 2.31-2.59, 1 Re 2.50
Co (0.6009, 0.6009, 0.2820)  7 Co 2.31-2.59, 1 Re 2.50
Co (0.3190, 0.7180, 0.3190)  7 Co 2.31-2.59, 1 Re 2.50
Co (0.6009, 0.2820, 0.6009)  7 Co 2.31-2.59, 1 Re 2.50
Co (0.3991, 0.0000, 0.6810)  7 Co 2.31-2.59, 1 Re 2.50
Co (0.6810, 0.0000, 0.3991)  7 Co 2.31-2.59, 1 Re 2.50
Co (0.0000, 0.3991, 0.6810)  7 Co 2.31-2.59, 1 Re 2.50
Co (0.0000, 0.6810, 0.3991)  7 Co 2.31-2.59, 1 Re 2.50
Co (0.2820, 0.6009, 0.6009)  7 Co 2.31-2.59, 1 Re 2.50
Co (0.7180, 0.3190, 0.3190)  7 Co 2.31-2.59, 1 Re 2.50
Re (0.0000, 0.6429, 0.0000)  9 Co 2.50-2.65, 1 Re 2.70
Re (0.6429, 0.0000, 0.0000)  9 Co 2.50-2.65, 1 Re 2.70
Re (0.0000, 0.0000, 0.6429)  9 Co 2.50-2.65, 1 Re 2.70
Re (0.3571, 0.3571, 0.3571)  9 Co 2.50-2.65, 1 Re 2.70
Re (0.0000, 0.0000, 0.0000)  4 Re 2.70, 12 Co 2.73

- energy relative to the elements (eV per atom) = 0.058
- SG = I-43m, No. 217
- V (Å³ per cell) = 333
- total energy (eV/atom) = -7.968
- magnetization (Bohr magnetons per cell) = 34.76

# 3
Here is crystalline GaAgSn2As at its relaxed geometry from Alexandria via LeMat-Bulk. Energies are from GGA-PBE.

Cell lengths 5.4288, 5.0042, 5.4288 Å; angles 90.00, 90.00, 90.00 degrees
With the nearest neighbours (Å) after each atom.
Fractional coordinates of all 5 atoms:
As (0.0000, 0.5000, 0.0000)  2 Ag 2.50
Ga (0.5000, 0.5000, 0.5000)  8 Sn 3.69, 4 As 3.84
Sn (0.0000, 0.0000, 0.5000)  2 Ag 2.71
Sn (0.5000, 0.0000, 0.0000)  2 Ag 2.71
Ag (0.0000, 0.0000, 0.0000)  2 As 2.50, 4 Sn 2.71

- energy relative to the elements (eV per atom) = 0.556
- SG = P4/mmm, No. 123
- V (Å³ per cell) = 147
- total energy (eV/atom) = -3.151
- magnetization (Bohr magnetons per cell) = 0.00

# 4
Here is crystalline Sc5ZnCu4 at its relaxed geometry from Alexandria via LeMat-Bulk. Energies are from GGA-PBE.

Cell lengths 3.2605, 3.2605, 16.5500 Å; angles 90.00, 90.00, 90.00 degrees
With the nearest neighbours (Å) after each atom.
Fractional coordinates of all 10 atoms:
Sc (0.5000, 0.5000, 0.1044)  4 Cu 2.82, 4 Zn 2.88
Sc (0.5000, 0.5000, 0.3015)  8 Cu 2.83
Sc (0.5000, 0.5000, 0.5000)  8 Cu 2.83
Sc (0.5000, 0.5000, 0.6985)  8 Cu 2.83
Sc (0.5000, 0.5000, 0.8956)  4 Cu 2.82, 4 Zn 2.88
Zn (0.0000, 0.0000, 0.0000)  8 Sc 2.88
Cu (0.0000, 0.0000, 0.2021)  8 Sc 2.82-2.83
Cu (0.0000, 0.0000, 0.4010)  8 Sc 2.83
Cu (0.0000, 0.0000, 0.5990)  8 Sc 2.83
Cu (0.0000, 0.0000, 0.7979)  8 Sc 2.82-2.83

- energy relative to the elements (eV per atom) = -0.298
- SG = P4/mmm, No. 123
- V (Å³ per cell) = 176
- total energy (eV/atom) = -5.230
- magnetization (Bohr magnetons per cell) = 0.00

# 5
Here is crystalline PuNpGa4 at its relaxed geometry from Alexandria via LeMat-Bulk. Energies are from GGA-PBE.

Cell lengths 3.0393, 4.7082, 8.1952 Å; angles 90.00, 90.00, 90.00 degrees
With the nearest neighbours (Å) after each atom.
Fractional coordinates of all 6 atoms:
Pu (0.5000, 0.5000, 0.5000)  2 Pu 3.04, 12 Ga 3.12-3.13
Np (0.5000, 0.0000, 0.0000)  2 Np 3.04, 12 Ga 3.12
Ga (0.0000, 0.0000, 0.6677)  5 Ga 2.72-3.04
Ga (0.0000, 0.5000, 0.8339)  5 Ga 2.72-3.04
Ga (0.0000, 0.0000, 0.3323)  5 Ga 2.72-3.04
Ga (0.0000, 0.5000, 0.1661)  5 Ga 2.72-3.04

- energy relative to the elements (eV per atom) = -0.248
- SG = Pmmm, No. 47
- V (Å³ per cell) = 117
- total energy (eV/atom) = -6.811
- magnetization (Bohr magnetons per cell) = 9.18

# 6
Here is crystalline AcMnCoP2 at its relaxed geometry from Alexandria via LeMat-Bulk. Energies are from GGA-PBE.

Cell lengths 3.8474, 3.8474, 6.3716 Å; angles 107.57, 107.57, 90.00 degrees
With the nearest neighbours (Å) after each atom.
Fractional coordinates of all 5 atoms:
Ac (0.0000, 0.0000, 0.0000)  8 P 3.24, 4 Mn 3.46, 4 Co 3.46
Mn (0.2500, 0.7500, 0.5000)  4 P 2.22
Co (0.7500, 0.2500, 0.5000)  4 P 2.22
P (0.6530, 0.6530, 0.3060)  2 Mn 2.22, 2 Co 2.22
P (0.3470, 0.3470, 0.6940)  2 Mn 2.22, 2 Co 2.22

- energy relative to the elements (eV per atom) = -0.926
- SG = I-4m2, No. 119
- V (Å³ per cell) = 85
- total energy (eV/atom) = -7.166
- magnetization (Bohr magnetons per cell) = 0.00

# 7
Here is crystalline Ho5AgSb2 at its relaxed geometry from Alexandria via LeMat-Bulk. Energies are from GGA-PBE.

Cell lengths 5.6973, 6.5680, 14.0929 Å; angles 90.00, 90.00, 115.70 degrees
With the nearest neighbours (Å) after each atom.
Fractional coordinates of all 16 atoms:
Ho (0.9339, 0.8678, 0.8964)  1 Ag 3.10, 2 Sb 3.13-3.27, 1 Ho 3.31
Ho (0.9339, 0.8678, 0.6036)  1 Ag 3.10, 2 Sb 3.13-3.27, 1 Ho 3.31
Ho (0.3804, 0.7607, 0.4423)  1 Ag 3.05, 3 Sb 3.06-3.10, 1 Ho 3.27
Ho (0.3804, 0.7607, 0.0577)  1 Ag 3.05, 3 Sb 3.06-3.10, 1 Ho 3.27
Ho (0.6203, 0.2406, 0.2500)  2 Sb 3.01, 2 Ag 3.30
Ho (0.3797, 0.7594, 0.7500)  2 Sb 3.01, 2 Ag 3.30
Ho (0.6196, 0.2393, 0.5577)  1 Ag 3.05, 3 Sb 3.06-3.10, 1 Ho 3.27
Ho (0.6196, 0.2393, 0.9423)  1 Ag 3.05, 3 Sb 3.06-3.10, 1 Ho 3.27
Ho (0.0661, 0.1322, 0.1036)  1 Ag 3.10, 2 Sb 3.13-3.27, 1 Ho 3.31
Ho (0.0661, 0.1322, 0.3964)  1 Ag 3.10, 2 Sb 3.13-3.27, 1 Ho 3.31
Ag (0.7383, 0.4766, 0.7500)  6 Ho 3.05-3.30
Ag (0.2617, 0.5234, 0.2500)  6 Ho 3.05-3.30
Sb (0.8015, 0.6030, 0.3997)  6 Ho 3.01-3.27
Sb (0.8015, 0.6030, 0.1003)  6 Ho 3.01-3.27
Sb (0.1985, 0.3970, 0.6003)  6 Ho 3.01-3.27
Sb (0.1985, 0.3970, 0.8997)  6 Ho 3.01-3.27

- formation energy (no corrections) (eV/atom) = -0.35
- SG = Cmcm, No. 63
- V (Å³ per cell) = 475
- total energy (eV/atom) = -4.594
- magnetization (Bohr magnetons per cell) = 0.00

# 8
Here is crystalline Nd8SmTl2 at its relaxed geometry from Alexandria via LeMat-Bulk. Energies are from GGA-PBE.

Cell lengths 5.2589, 8.4241, 9.2257 Å; angles 110.25, 106.56, 90.00 degrees
With the nearest neighbours (Å) after each atom.
Fractional coordinates of all 11 atoms:
Nd (0.6010, 0.4652, 0.2021)  3 Tl 3.38-3.54, 1 Sm 3.67, 4 Nd 3.69-3.72
Nd (0.3137, 0.0515, 0.6274)  1 Tl 3.25, 6 Nd 3.37-3.63, 1 Sm 3.47
Nd (0.1452, 0.2042, 0.2905)  3 Tl 3.43-3.45, 7 Nd 3.63-3.69, 2 Sm 3.64
Nd (0.0518, 0.7385, 0.1035)  1 Tl 3.40, 9 Nd 3.56-3.80, 2 Sm 3.75
Nd (0.8548, 0.7958, 0.7095)  3 Tl 3.43-3.45, 7 Nd 3.63-3.69, 2 Sm 3.64
Nd (0.6863, 0.9485, 0.3726)  1 Tl 3.25, 6 Nd 3.37-3.63, 1 Sm 3.47
Nd (0.3990, 0.5348, 0.7979)  3 Tl 3.38-3.54, 1 Sm 3.67, 4 Nd 3.69-3.72
Nd (0.9482, 0.2615, 0.8965)  1 Tl 3.40, 9 Nd 3.56-3.80, 2 Sm 3.75
Sm (0.5000, 0.0000, 0.0000)  12 Nd 3.47-3.75
Tl (0.2224, 0.6406, 0.4448)  8 Nd 3.25-3.54
Tl (0.7776, 0.3594, 0.5552)  8 Nd 3.25-3.54

- energy relative to the elements (eV per atom) = -0.106
- SG = C2/m, No. 12
- V (Å³ per cell) = 365
- total energy (eV/atom) = -4.433
- magnetization (Bohr magnetons per cell) = 0.00